one) ## NdReAs (PBE-GGA)

Data for a geometry-optimized NdReAs structure.

abc: 4.5882 4.5882 4.5882
angles: 60.00 60.00 60.00
Fractional positions:
1 As 0.0000 0.0000 0.0000
2 Nd 0.2500 0.2500 0.2500
3 Re 0.7500 0.7500 0.7500

## Properties
Symmetry   No. 216
Size of the total moment   1.4 Bohr magnetons per cell



two) ## NdReAs (PBE-GGA)

Data for a geometry-optimized NdReAs structure.

abc: 4.7845 4.7845 4.7845
angles: 60.00 60.00 60.00
Each line ends with the local moment (μB).
Fractional positions:
1 As 0.2500 0.2500 0.2500  -0.01
2 Nd 0.0000 0.0000 0.0000  0.00
3 Re 0.7500 0.7500 0.7500  1.48

## Properties
Symmetry   No. 216
Size of the total moment   1.6 Bohr magnetons per cell



Energetically preferred structure: one) | next structure: +0.864 eV/atom



one) ## Nd3As2S (PBE-GGA)

Data for a geometry-optimized Nd3As2S structure.

abc: 7.2809 7.2809 7.2809
angles: 146.33 131.75 60.12
Fractional positions:
1 As 0.3327 0.3327 0.0000
2 As 0.6673 0.6673 0.0000
3 Nd 0.5000 0.0000 0.5000
4 Nd 0.8341 0.3341 0.5000
5 Nd 0.1659 0.6659 0.5000
6 S 0.0000 0.0000 0.0000

## Properties
Symmetry   No. 71
Size of the total moment   0.0 Bohr magnetons per cell



two) ## Nd3As2S (PBE-GGA)

Data for a geometry-optimized Nd3As2S structure.

abc: 4.2163 4.2163 10.2797
angles: 90.00 90.00 120.00
Fractional positions:
1 As 0.6667 0.3333 0.1717
2 As 0.3333 0.6667 0.8283
3 Nd 0.0000 0.0000 0.0000
4 Nd 0.3333 0.6667 0.3348
5 Nd 0.6667 0.3333 0.6652
6 S 0.0000 0.0000 0.5000

## Properties
Symmetry   No. 164
Size of the total moment   0.0 Bohr magnetons per cell



Energetically preferred structure: one) | next structure: +0.009 eV/atom